Record 1
ZnTcSe meta-GGA SCAN single point on PBEsol structure; calculated total energy = -21.9931 eV per atom; energy relative to the elements, uncorrected = 86.0 kJ per mole of atoms; E above lowest polymorph = 919 meV/atom; space-group type = F-43m (216)
1.0
-4.0015 -1.3344 0.2707
-1.5337 -2.6808 -2.8857
-0.8242 -4.0066 1.0646
Se Tc Zn
1 1 1
Cartesian
0.0000 0.0000 0.0000
-3.1797 -4.0109 -0.7752
-1.5899 -2.0055 -0.3876


Record 2
ZrTc2Se meta-GGA SCAN single point on PBEsol structure; calculated total energy = -30.0430 eV per atom; energy relative to the elements, uncorrected = 17.5 kJ per mole of atoms; space-group type = R-3m (166)
1.0
3.1070 0.0000 0.0000
1.5535 2.6907 0.0000
1.5535 0.8969 7.9212
Se Tc Zr
1 2 1
Cartesian
0.0000 0.0000 0.0000
1.5535 0.8969 1.8647
4.6605 2.6907 6.0565
3.1070 1.7938 3.9606


Record 3
ZrTc2Se meta-GGA SCAN single point on PBEsol structure; calculated total energy = -30.4141 eV per atom; energy relative to the elements, uncorrected = -18.3 kJ per mole of atoms; space-group type = Pm (6)
1.0
3.0613 0.0000 0.0020
0.0000 4.0980 0.0000
-1.1909 0.0000 5.1107
Se Tc Zr
1 2 1
Cartesian
-0.6380 2.0490 3.7365
0.3632 0.0000 0.1167
2.1925 2.0490 1.1594
0.8879 0.0000 2.6565